Record 1
# DyTl2InS4

Crystalline DyTl2InS4 at its relaxed geometry (PBE-GGA, Alexandria).

Unit cell a=6.5733 b=6.5733 c=6.5733 alpha=105.79 beta=105.79 gamma=117.11
Atoms (fractional coordinates):
Dy 0.0000 0.0000 0.0000
Tl 0.0000 0.5000 0.5000
Tl 0.5000 0.0000 0.5000
In 0.5000 0.5000 0.0000
S 0.0921 0.4353 0.0000
S 0.4353 0.0921 0.0000
S 0.5647 0.5647 0.6567
S 0.9079 0.9079 0.3433

The volume is 215.7 Å³/f.u. The calculation puts the formation energy (no corrections) at -85.4 kJ per mole of atoms. The value obtained for the energy above the lowest structure with this stoichiometry is 37 meV/atom. As for the total energy: -4.46 eV/atom. As for the space group: I-42m.

---

Record 2
# Ca3HfBe

Crystalline Ca3HfBe at its relaxed geometry (PBE-GGA, Alexandria).

Unit cell a=5.4496 b=5.4496 c=5.4496 alpha=90.00 beta=90.00 gamma=90.00
Atoms (fractional coordinates):
Ca 0.0000 0.0000 0.5000
Ca 0.0000 0.5000 0.0000
Ca 0.5000 0.0000 0.0000
Hf 0.5000 0.5000 0.5000
Be 0.0000 0.0000 0.0000

The volume is 161.8 Å³/f.u. The value obtained for the formation energy from the elements is 803 meV/atom. The value obtained for the energy above the lowest structure with this stoichiometry is 0 meV/atom. As for the total energy: -3.13 eV/atom. As for the space group: Pm-3m.

---

Record 3
# TbDyC

Crystalline TbDyC at its relaxed geometry (PBE-GGA, Alexandria).

Unit cell a=6.7226 b=6.7226 c=5.8259 alpha=90.00 beta=90.00 gamma=147.04
Atoms (fractional coordinates):
Tb 0.0399 0.9601 0.5000
Tb 0.9601 0.0399 0.0000
Dy 0.3061 0.6939 0.5224
Dy 0.6939 0.3061 0.0224
C 0.1563 0.8437 0.7963
C 0.8437 0.1563 0.2963

The volume is 71.6 Å³/f.u. The value obtained for the formation energy from the elements is 116 meV/atom. The value obtained for the energy above the lowest structure with this stoichiometry is 385 meV/atom. As for the total energy: -6.04 eV/atom. As for the space group: Cmc2_1.

---

Record 4
# Zr2VCdB

Crystalline Zr2VCdB at its relaxed geometry (PBE-GGA, Alexandria).

Unit cell a=4.6825 b=4.6825 c=4.1645 alpha=90.00 beta=90.00 gamma=90.00
Atoms (fractional coordinates):
Zr 0.0000 0.5000 0.0000
Zr 0.5000 0.0000 0.0000
V 0.0000 0.0000 0.5000
Cd 0.5000 0.5000 0.5000
B 0.0000 0.0000 0.0000

The volume is 91.3 Å³/f.u. The value obtained for the formation energy from the elements is -141 meV/atom. As for the total energy: -6.90 eV/atom. As for the space group: P4/mmm.

---

Record 5
# TbSb6Rh12

Crystalline TbSb6Rh12 at its relaxed geometry (PBE-GGA, Alexandria).

Unit cell a=7.4971 b=7.4971 c=7.4971 alpha=106.88 beta=106.88 gamma=106.88
Atoms (fractional coordinates):
Tb 0.0000 0.0000 0.0000
Sb 0.2688 0.2688 0.7046
Sb 0.2688 0.7046 0.2688
Sb 0.2954 0.7312 0.7312
Sb 0.7046 0.2688 0.2688
Sb 0.7312 0.2954 0.7312
Sb 0.7312 0.7312 0.2954
Rh 0.1225 0.5000 0.8775
Rh 0.1225 0.8775 0.5000
Rh 0.1628 0.3945 0.3945
Rh 0.3945 0.1628 0.3945
Rh 0.3945 0.3945 0.1628
Rh 0.5000 0.1225 0.8775
Rh 0.5000 0.8775 0.1225
Rh 0.6055 0.6055 0.8372
Rh 0.6055 0.8372 0.6055
Rh 0.8372 0.6055 0.6055
Rh 0.8775 0.1225 0.5000
Rh 0.8775 0.5000 0.1225

The volume is 352.1 Å³/f.u. The calculation puts the formation energy (no corrections) at -27.7 kJ per mole of atoms. As for the total energy: -6.48 eV/atom. As for the space group: R-3m.

---

Record 6
# BaLi2CaGa

Crystalline BaLi2CaGa at its relaxed geometry (PBE-GGA, Alexandria).

Unit cell a=5.3365 b=5.3365 c=5.7175 alpha=90.00 beta=90.00 gamma=90.00
Atoms (fractional coordinates):
Ba 0.0000 0.0000 0.0000
Li 0.0000 0.5000 0.5000
Li 0.5000 0.0000 0.5000
Ca 0.5000 0.5000 0.0000
Ga 0.5000 0.5000 0.5000

The volume is 162.8 Å³/f.u. The value obtained for the formation energy from the elements is -40 meV/atom. As for the total energy: -2.20 eV/atom. As for the space group: P4/mmm.

---

Record 7
# Mg4InPb10

Crystalline Mg4InPb10 at its relaxed geometry (PBE-GGA, Alexandria).

Unit cell a=8.7929 b=8.7929 c=11.3278 alpha=129.88 beta=129.88 gamma=48.77
Atoms (fractional coordinates):
Mg 0.0998 0.0998 0.2981
Mg 0.2998 0.2998 0.9003
Mg 0.7002 0.7002 0.0997
Mg 0.9002 0.9002 0.7019
In 0.5000 0.5000 0.5000
Pb 0.0434 0.5508 0.3980
Pb 0.1462 0.6529 0.1961
Pb 0.2521 0.7479 0.0000
Pb 0.3471 0.8538 0.8039
Pb 0.4492 0.9566 0.6020
Pb 0.5508 0.0434 0.3980
Pb 0.6529 0.1462 0.1961
Pb 0.7479 0.2521 0.0000
Pb 0.8538 0.3471 0.8039
Pb 0.9566 0.4492 0.6020

The volume is 467.8 Å³/f.u. The value obtained for the formation energy from the elements is 37 meV/atom. As for the total energy: -3.04 eV/atom. As for the space group: C2/m.

---

Record 8
# SrTmInSn

Crystalline SrTmInSn at its relaxed geometry (PBE-GGA, Alexandria).

Unit cell a=5.4890 b=5.4890 c=5.4890 alpha=60.00 beta=60.00 gamma=60.00
Atoms (fractional coordinates):
Sr 0.0000 0.0000 0.0000
Tm 0.5000 0.5000 0.5000
In 0.7500 0.7500 0.7500
Sn 0.2500 0.2500 0.2500

The volume is 116.9 Å³/f.u. The value obtained for the formation energy from the elements is -419 meV/atom. As for the total energy: -3.64 eV/atom. As for the space group: F-43m.

---

Please write out number 1 again, unchanged.
# DyTl2InS4

Crystalline DyTl2InS4 at its relaxed geometry (PBE-GGA, Alexandria).

Unit cell a=6.5733 b=6.5733 c=6.5733 alpha=105.79 beta=105.79 gamma=117.11
Atoms (fractional coordinates):
Dy 0.0000 0.0000 0.0000
Tl 0.0000 0.5000 0.5000
Tl 0.5000 0.0000 0.5000
In 0.5000 0.5000 0.0000
S 0.0921 0.4353 0.0000
S 0.4353 0.0921 0.0000
S 0.5647 0.5647 0.6567
S 0.9079 0.9079 0.3433

The volume is 215.7 Å³/f.u. The calculation puts the formation energy (no corrections) at -85.4 kJ per mole of atoms. The value obtained for the energy above the lowest structure with this stoichiometry is 37 meV/atom. As for the total energy: -4.46 eV/atom. As for the space group: I-42m.